A relaxed CsRb3Hg2 crystal. Source: the Alexandria database, functional PBE-GGA.

## Properties
**Energy above the most stable polymorph in this dataset**: 0.064 eV/atom
**Crystal system**: hexagonal
**Calculated formation energy**: -107 meV/atom

```
CsRb3Hg2
1.0
-4.472 -1.956 1.839
2.056 -8.243 -3.767
2.712 1.953 8.672
Hg Rb Cs
2 3 1
Direct
0.000 0.333 0.667
0.000 0.667 0.333
0.500 0.500 0.000
0.500 0.000 0.500
0.500 0.500 0.500
0.000 0.000 0.000
```

***

A relaxed Cs10RbHg3 crystal. Source: the Alexandria database, functional PBE-GGA.

## Properties
**Crystal system**: cubic
**Calculated formation energy**: -100 meV/atom

```
Cs10RbHg3
1.0
0.921 6.760 13.072
10.955 -3.358 9.280
10.777 9.743 2.518
Cs Hg Rb
20 6 2
Direct
0.387 0.387 0.387
0.387 0.387 0.838
0.333 0.667 0.000
0.387 0.838 0.387
0.838 0.387 0.387
0.613 0.613 0.162
0.000 0.333 0.667
0.667 0.333 0.000
0.613 0.162 0.613
0.000 0.667 0.333
0.667 0.000 0.000
0.667 0.000 0.333
0.333 0.000 0.000
0.333 0.000 0.667
0.000 0.000 0.667
0.613 0.613 0.613
0.162 0.613 0.613
0.000 0.333 0.000
0.000 0.000 0.333
0.000 0.667 0.000
0.729 0.729 0.271
0.729 0.271 0.271
0.729 0.271 0.729
0.271 0.271 0.729
0.271 0.729 0.729
0.271 0.729 0.271
0.250 0.250 0.250
0.750 0.750 0.750
```

***

A relaxed Cs2Rb3Hg9 crystal. Source: the Alexandria database, functional PBE-GGA.

## Properties
**Crystal system**: orthorhombic
**Calculated formation energy**: -221 meV/atom

```
Cs2Rb3Hg9
1.0
5.338 0.001 -1.092
-1.183 10.526 -5.779
-0.557 -1.018 10.857
Hg Cs Rb
9 2 3
Direct
0.153 0.415 0.307
0.682 0.051 0.363
0.682 0.313 0.363
0.847 0.585 0.693
0.847 0.108 0.693
0.318 0.949 0.637
0.000 0.500 0.000
0.318 0.687 0.637
0.153 0.892 0.307
0.500 0.290 0.000
0.500 0.710 0.000
0.293 0.293 0.587
0.707 0.707 0.413
0.000 0.000 0.000
```

***

A relaxed CsRb4Hg5 crystal. Source: the Alexandria database, functional PBE-GGA.

## Properties
**Crystal system**: orthorhombic
**Calculated formation energy**: -170 meV/atom

```
CsRb4Hg5
1.0
-0.482 -4.186 3.100
4.611 -7.918 -9.974
12.531 1.794 4.369
Hg Rb Cs
10 8 2
Direct
0.256 0.208 0.290
0.744 0.292 0.790
0.256 0.792 0.290
0.744 0.708 0.790
0.720 0.500 0.000
0.256 0.208 0.710
0.744 0.708 0.210
0.280 0.000 0.500
0.744 0.292 0.210
0.256 0.792 0.710
0.786 0.787 0.500
0.213 0.500 0.219
0.786 0.213 0.500
0.214 0.287 0.000
0.214 0.713 0.000
0.213 0.500 0.781
0.787 0.000 0.281
0.787 0.000 0.719
0.459 0.000 0.000
0.541 0.500 0.500
```

***

A relaxed Cs2Rb2Hg15 crystal. Source: the Alexandria database, functional PBE-GGA.

## Properties
**Energy above the most stable polymorph in this dataset**: 0.015 eV/atom
**Crystal system**: trigonal
**Calculated formation energy**: -157 meV/atom

```
Cs2Rb2Hg15
1.0
-7.694 -4.401 0.137
2.096 -6.958 5.078
-3.288 2.540 7.831
Hg Cs Rb
15 2 2
Direct
0.159 0.623 0.623
0.377 0.377 0.841
0.693 0.000 0.307
0.693 0.307 0.000
0.000 0.000 0.500
0.500 0.000 0.000
0.000 0.500 0.000
0.000 0.693 0.307
0.377 0.841 0.377
0.000 0.307 0.693
0.623 0.159 0.623
0.623 0.623 0.159
0.841 0.377 0.377
0.307 0.000 0.693
0.307 0.693 0.000
0.101 0.101 0.101
0.899 0.899 0.899
0.654 0.654 0.654
0.346 0.346 0.346
```

***

A relaxed Cs3Rb6Hg2 crystal. Source: the Alexandria database, functional PBE-GGA.

## Properties
**Crystal system**: tetragonal
**Calculated formation energy**: -41 meV/atom

```
Cs3Rb6Hg2
1.0
-5.392 -2.987 -1.998
3.461 -3.344 -4.339
4.083 -11.878 17.250
Rb Cs Hg
6 3 2
Direct
0.588 0.088 0.175
0.329 0.329 0.658
0.912 0.412 0.825
0.671 0.671 0.342
0.412 0.912 0.825
0.088 0.588 0.175
0.209 0.209 0.417
0.791 0.791 0.583
0.000 0.000 0.000
0.464 0.464 0.927
0.536 0.536 0.073
```

***

A relaxed Cs6Rb14Hg3 crystal. Source: the Alexandria database, functional PBE-GGA.

## Properties
**Crystal system**: trigonal
**Calculated formation energy**: -35 meV/atom

```
Cs6Rb14Hg3
1.0
8.485 0.000 0.000
0.000 13.977 -8.069
0.000 0.000 16.139
Rb Cs Hg
14 6 3
Direct
0.237 0.556 0.115
0.237 0.560 0.444
0.868 0.134 0.877
0.364 0.211 0.802
0.237 0.885 0.440
0.868 0.743 0.866
0.745 0.773 0.550
0.364 0.198 0.409
0.574 0.000 0.000
0.067 0.333 0.667
0.868 0.123 0.257
0.745 0.778 0.227
0.364 0.591 0.789
0.745 0.450 0.222
0.738 0.456 0.532
0.738 0.076 0.544
0.738 0.468 0.924
0.251 0.876 0.742
0.251 0.865 0.124
0.251 0.258 0.135
0.489 0.667 0.333
0.545 0.333 0.667
0.059 0.000 0.000
```

***

A relaxed Cs4Rb3Hg3 crystal. Source: the Alexandria database, functional PBE-GGA.

## Properties
**Crystal system**: cubic
**Calculated formation energy**: -141 meV/atom

```
Cs4Rb3Hg3
1.0
-4.419 -10.582 3.537
-5.182 3.249 -10.325
11.856 -0.949 -1.599
Rb Cs Hg
6 8 6
Direct
0.250 0.875 0.125
0.875 0.250 0.625
0.375 0.125 0.750
0.625 0.750 0.875
0.125 0.375 0.250
0.750 0.625 0.375
0.000 0.000 0.336
0.500 0.836 0.500
0.664 0.164 0.164
0.500 0.336 0.500
0.164 0.664 0.664
0.836 0.500 0.000
0.336 0.500 0.000
0.000 0.000 0.836
0.750 0.125 0.875
0.625 0.875 0.250
0.250 0.375 0.625
0.875 0.625 0.750
0.375 0.250 0.125
0.125 0.750 0.375
```

***

A relaxed CsRb2Hg crystal. Source: the Alexandria database, functional PBE-GGA.

## Properties
**Crystal system**: tetragonal
**Calculated formation energy**: -90 meV/atom

```
CsRb2Hg
1.0
-1.434 -1.931 -4.098
2.357 -3.989 1.054
-9.983 -4.425 5.579
Rb Cs Hg
2 1 1
Direct
0.000 0.000 0.828
0.000 0.000 0.172
0.500 0.500 0.500
0.500 0.500 0.000
```

***

A relaxed Cs2RbHg3 crystal. Source: the Alexandria database, functional PBE-GGA.

## Properties
**Energy above the most stable polymorph in this dataset**: 0.004 eV/atom
**Crystal system**: orthorhombic
**Calculated formation energy**: -213 meV/atom

```
Cs2RbHg3
1.0
6.085 0.000 0.000
0.000 10.254 -5.824
0.000 -0.749 10.620
Hg Cs Rb
6 4 2
Direct
0.000 0.174 0.349
0.500 0.174 0.349
0.000 0.826 0.651
0.750 0.436 0.000
0.250 0.564 0.000
0.500 0.826 0.651
0.750 0.828 0.309
0.250 0.481 0.309
0.750 0.519 0.691
0.250 0.172 0.691
0.750 0.127 0.000
0.250 0.873 0.000
```

***

Ordered N(E_F) results: 7.369; 25.585; 8.036; 13.471; 9.900; 10.230; 21.688; 9.597; 3.351; 7.386; unit states/eV/cell.
Ordered calculated volume results: 65.03; 80.96; 40.78; 47.44; 34.83; 79.56; 83.22; 66.52; 69.21; 53.01; unit Å³/atom.